1.
A geometry-optimized Ta2NbNi6 structure, computed with GGA-PBE.

symmetry: P-3m1 (164)
energy: -7.6725 eV per atom

a = 5.0266 Å, b = 5.0266 Å, c = 5.5775 Å
α = 90.00°, β = 90.00°, γ = 120.00°
Closest atoms and distances in Å follow each position.
Positions (direct):
Ta: 0.3333 0.6667 0.3661  9 Ni 2.75-2.94, 3 Nb 3.00
Ta: 0.6667 0.3333 0.6339  9 Ni 2.75-2.94, 3 Nb 3.00
Nb: 0.0000 0.0000 0.5000  6 Ni 2.41
Ni: 0.1760 0.3520 0.8327  6 Ni 2.37-2.65, 1 Nb 2.41
Ni: 0.1760 0.8240 0.8327  6 Ni 2.37-2.65, 1 Nb 2.41
Ni: 0.3520 0.1760 0.1673  6 Ni 2.37-2.65, 1 Nb 2.41
Ni: 0.6480 0.8240 0.8327  6 Ni 2.37-2.65, 1 Nb 2.41
Ni: 0.8240 0.1760 0.1673  6 Ni 2.37-2.65, 1 Nb 2.41
Ni: 0.8240 0.6480 0.1673  6 Ni 2.37-2.65, 1 Nb 2.41

2.
A geometry-optimized TaNbNi2 structure, computed with GGA-PBE.

symmetry: I-42d (122)
energy: -8.1138 eV per atom
excess energy over the best structure of this formula in the dataset: 9.75 kcal/mol of atoms

a = 5.5080 Å, b = 5.5080 Å, c = 5.5080 Å
α = 103.20°, β = 103.20°, γ = 122.90°
Closest atoms and distances in Å follow each position.
Positions (direct):
Ta: 0.0000 0.0000 0.0000  4 Ni 2.49, 2 Nb 2.63
Ta: 0.7500 0.2500 0.5000  4 Ni 2.49, 2 Nb 2.63
Nb: 0.2500 0.7500 0.5000  4 Ni 2.53, 2 Ta 2.63
Nb: 0.5000 0.5000 0.0000  4 Ni 2.53, 2 Ta 2.63
Ni: 0.1209 0.1250 0.4959  2 Ta 2.49, 2 Nb 2.53, 2 Ni 2.63
Ni: 0.3750 0.8791 0.0041  2 Ta 2.49, 2 Nb 2.53, 2 Ni 2.63
Ni: 0.6291 0.6250 0.5041  2 Ta 2.49, 2 Nb 2.53, 2 Ni 2.63
Ni: 0.8750 0.3709 0.9959  2 Ta 2.49, 2 Nb 2.53, 2 Ni 2.63

3.
A geometry-optimized TaNbNi structure, computed with GGA-PBE.

symmetry: Ima2 (46)
energy: -9.4379 eV per atom
excess energy over the best structure of this formula in the dataset: 0.01 kcal/mol of atoms

a = 5.0443 Å, b = 5.0443 Å, c = 5.0443 Å
α = 122.38°, β = 103.45°, γ = 103.41°
Closest atoms and distances in Å follow each position.
Positions (direct):
Ta: 0.1591 0.2500 0.4091  4 Ni 2.65, 3 Nb 2.79-2.92
Ta: 0.8409 0.7500 0.5909  4 Ni 2.65, 3 Nb 2.79-2.92
Nb: 0.1595 0.5662 0.0932  4 Ni 2.65, 3 Ta 2.79-2.92
Nb: 0.4730 0.0662 0.9068  4 Ni 2.65, 3 Ta 2.79-2.92
Ni: 0.6592 0.1592 0.5000  2 Ni 2.43, 4 Ta 2.65, 4 Nb 2.65
Ni: 0.6592 0.6592 0.0000  2 Ni 2.43, 4 Ta 2.65, 4 Nb 2.65

4.
A geometry-optimized TaNbNi3 structure, computed with GGA-PBE.

symmetry: Cmcm (63)
energy: -7.8850 eV per atom
excess energy over the best structure of this formula in the dataset: 0.00 kcal/mol of atoms

a = 6.7681 Å, b = 6.7681 Å, c = 4.6165 Å
α = 90.00°, β = 90.00°, γ = 137.78°
Closest atoms and distances in Å follow each position.
Positions (direct):
Ta: 0.1976 0.8024 0.7500  6 Ni 2.44-2.73
Ta: 0.8024 0.1976 0.2500  6 Ni 2.44-2.73
Nb: 0.4281 0.5719 0.2500  10 Ni 2.73-2.88, 2 Ta 2.91, 2 Nb 2.94
Nb: 0.5719 0.4281 0.7500  10 Ni 2.73-2.88, 2 Ta 2.91, 2 Nb 2.94
Ni: 0.0000 0.0000 0.0000  6 Ni 2.31-2.39
Ni: 0.0000 0.0000 0.5000  6 Ni 2.31-2.39
Ni: 0.1163 0.3856 0.7500  4 Ni 2.39-2.45, 1 Ta 2.44
Ni: 0.3856 0.1163 0.2500  4 Ni 2.39-2.45, 1 Ta 2.44
Ni: 0.6144 0.8837 0.7500  4 Ni 2.39-2.45, 1 Ta 2.44
Ni: 0.8837 0.6144 0.2500  4 Ni 2.39-2.45, 1 Ta 2.44

5.
A geometry-optimized TaNb2Ni2 structure, computed with GGA-PBE.

symmetry: P4/mbm (127)
energy: -8.5989 eV per atom
excess energy over the best structure of this formula in the dataset: 4.33 kcal/mol of atoms

a = 7.5023 Å, b = 7.5023 Å, c = 2.8004 Å
α = 90.00°, β = 90.00°, γ = 90.00°
Closest atoms and distances in Å follow each position.
Positions (direct):
Ta: 0.0000 0.0000 0.0000  4 Nb 2.80, 2 Ta 2.80
Ta: 0.5000 0.5000 0.0000  4 Nb 2.80, 2 Ta 2.80
Nb: 0.1657 0.3343 0.0000  6 Ni 2.61-2.62, 2 Ta 2.80, 2 Nb 2.80
Nb: 0.3343 0.8343 0.0000  6 Ni 2.61-2.62, 2 Ta 2.80, 2 Nb 2.80
Nb: 0.6657 0.1657 0.0000  6 Ni 2.61-2.62, 2 Ta 2.80, 2 Nb 2.80
Nb: 0.8343 0.6657 0.0000  6 Ni 2.61-2.62, 2 Ta 2.80, 2 Nb 2.80
Ni: 0.1273 0.6273 0.5000  6 Nb 2.61-2.62, 3 Ni 2.70-2.80
Ni: 0.3727 0.1273 0.5000  6 Nb 2.61-2.62, 3 Ni 2.70-2.80
Ni: 0.6273 0.8727 0.5000  6 Nb 2.61-2.62, 3 Ni 2.70-2.80
Ni: 0.8727 0.3727 0.5000  6 Nb 2.61-2.62, 3 Ni 2.70-2.80

6.
A geometry-optimized TaNb2Ni structure, computed with GGA-PBE.

symmetry: R-3m (166)
energy: -9.0299 eV per atom
excess energy over the best structure of this formula in the dataset: 10.32 kcal/mol of atoms

a = 9.9019 Å, b = 9.9019 Å, c = 9.9019 Å
α = 16.65°, β = 16.65°, γ = 16.65°
Closest atoms and distances in Å follow each position.
Positions (direct):
Ta: 0.0000 0.0000 0.0000  2 Nb 2.74, 6 Ta 2.87
Nb: 0.0936 0.0936 0.0936  3 Ni 2.71, 1 Ta 2.74, 6 Nb 2.87
Nb: 0.9064 0.9064 0.9064  3 Ni 2.71, 1 Ta 2.74, 6 Nb 2.87
Ni: 0.5000 0.5000 0.5000  6 Nb 2.71, 6 Ni 2.87

7.
A geometry-optimized TaNb2Ni structure, computed with GGA-PBE.

symmetry: P4/mmm (123)
energy: -9.4774 eV per atom
excess energy over the best structure of this formula in the dataset: 0.00 kcal/mol of atoms

a = 3.2895 Å, b = 3.2895 Å, c = 6.1118 Å
α = 90.00°, β = 90.00°, γ = 90.00°
Closest atoms and distances in Å follow each position.
Positions (direct):
Ta: 0.0000 0.0000 0.0000  8 Nb 2.82, 2 Ni 3.06
Nb: 0.5000 0.5000 0.2612  4 Ni 2.75, 4 Ta 2.82, 1 Nb 2.92
Nb: 0.5000 0.5000 0.7388  4 Ni 2.75, 4 Ta 2.82, 1 Nb 2.92
Ni: 0.0000 0.0000 0.5000  8 Nb 2.75, 2 Ta 3.06

8.
A geometry-optimized TaNbNi structure, computed with GGA-PBE.

symmetry: P3m1 (156)
energy: -9.0596 eV per atom
excess energy over the best structure of this formula in the dataset: 8.74 kcal/mol of atoms

a = 4.5696 Å, b = 4.5696 Å, c = 2.6827 Å
α = 90.00°, β = 90.00°, γ = 120.00°
Closest atoms and distances in Å follow each position.
Positions (direct):
Ta: 0.0000 0.0000 0.0000  2 Ta 2.68, 3 Ni 2.89, 6 Nb 2.93-2.99
Nb: 0.6667 0.3333 0.5264  3 Ni 2.65, 2 Nb 2.68, 3 Ta 2.93
Ni: 0.3333 0.6667 0.4388  3 Nb 2.65, 2 Ni 2.68, 3 Ta 2.89